1.
Density functional theory data (PBE) for a relaxed Cr2AsPt2 crystal.

Calculated values
VASP energy   -72.0 eV/cell
Distance to the lowest polymorph of the same formula   0 kJ/mol of formula units
Spin magnetization   0.00 μB/f.u.
Energy of formation   -0.022 eV/f.u.

Lattice parameters (Å, degrees): 6.0456 6.0456 4.0518 90.00 90.00 90.00
With the nearest neighbours (Å) after each atom.
Element x y z (fractional)
Cr (0.1268, 0.3732, 0.0000)  1 Cr 2.17, 2 As 2.38
Cr (0.3732, 0.8732, 0.0000)  1 Cr 2.17, 2 As 2.38
Cr (0.6268, 0.1268, 0.0000)  1 Cr 2.17, 2 As 2.38
Cr (0.8732, 0.6268, 0.0000)  1 Cr 2.17, 2 As 2.38
As (0.0000, 0.0000, 0.0000)  4 Cr 2.38
As (0.5000, 0.5000, 0.0000)  4 Cr 2.38
Pt (0.1548, 0.6548, 0.5000)  1 Pt 2.65, 6 Cr 2.65-2.76
Pt (0.3452, 0.1548, 0.5000)  1 Pt 2.65, 6 Cr 2.65-2.76
Pt (0.6548, 0.8452, 0.5000)  1 Pt 2.65, 6 Cr 2.65-2.76
Pt (0.8452, 0.3452, 0.5000)  1 Pt 2.65, 6 Cr 2.65-2.76

---

2.
Density functional theory data (PBE) for a relaxed PrSm3Ge2 crystal.

Calculated values
VASP energy   -31.5 eV/cell
Distance to the lowest polymorph of the same formula   5 kJ/mol of formula units
Spin magnetization   0.00 μB/f.u.
Energy of formation   -3.361 eV/f.u.

Lattice parameters (Å, degrees): 4.4654 4.4654 8.3827 90.00 90.00 90.00
With the nearest neighbours (Å) after each atom.
Element x y z (fractional)
Pr (0.0000, 0.0000, 0.0000)  4 Sm 3.16, 4 Ge 3.24
Sm (0.0000, 0.5000, 0.3588)  5 Ge 3.02-3.22
Sm (0.5000, 0.0000, 0.6412)  5 Ge 3.02-3.22
Sm (0.5000, 0.5000, 0.0000)  4 Pr 3.16, 4 Ge 3.24
Ge (0.0000, 0.5000, 0.7194)  7 Sm 3.02-3.24, 2 Pr 3.24
Ge (0.5000, 0.0000, 0.2806)  7 Sm 3.02-3.24, 2 Pr 3.24

---

3.
Density functional theory data (PBE) for a relaxed CaPmHgAu crystal.

Calculated values
VASP energy   -12.9 eV/cell
Spin magnetization   0.00 μB/f.u.
Energy of formation   -2.610 eV/f.u.

Lattice parameters (Å, degrees): 5.2652 5.2652 5.2652 60.00 60.00 60.00
With the nearest neighbours (Å) after each atom.
Element x y z (fractional)
Ca (0.0000, 0.0000, 0.0000)  4 Hg 3.22, 4 Au 3.22
Pm (0.5000, 0.5000, 0.5000)  4 Hg 3.22, 4 Au 3.22
Hg (0.7500, 0.7500, 0.7500)  4 Ca 3.22, 4 Pm 3.22
Au (0.2500, 0.2500, 0.2500)  4 Ca 3.22, 4 Pm 3.22

---

4.
Density functional theory data (PBE) for a relaxed TbCe2Rh crystal.

Calculated values
VASP energy   -24.8 eV/cell
Distance to the lowest polymorph of the same formula   58 kJ/mol of formula units
Spin magnetization   1.08 μB/f.u.
Energy of formation   -0.967 eV/f.u.

Lattice parameters (Å, degrees): 9.4643 9.4643 9.4643 22.87 22.87 22.87
With the nearest neighbours (Å) after each atom.
Element x y z (fractional)
Tb (0.0000, 0.0000, 0.0000)  6 Ce 3.57, 6 Tb 3.75
Ce (0.2304, 0.2304, 0.2304)  3 Rh 2.79
Ce (0.7696, 0.7696, 0.7696)  3 Rh 2.79
Rh (0.5000, 0.5000, 0.5000)  6 Ce 2.79

---

5.
Density functional theory data (PBE) for a relaxed Pm3In3Pd2 crystal.

Calculated values
VASP energy   -151.8 eV/cell
Distance to the lowest polymorph of the same formula   0 kJ/mol of formula units
Spin magnetization   0.00 μB/f.u.
Energy of formation   -5.107 eV/f.u.

Lattice parameters (Å, degrees): 8.3959 16.7660 5.7258 90.00 90.00 90.00
With the nearest neighbours (Å) after each atom.
Element x y z (fractional)
Pm (0.0348, 0.1110, 0.1159)  3 Pd 3.07-3.33, 6 In 3.22-3.43
Pm (0.0348, 0.3890, 0.1159)  3 Pd 3.07-3.33, 6 In 3.22-3.43
Pm (0.1651, 0.2500, 0.6459)  3 In 3.14-3.33, 4 Pd 3.17-3.26
Pm (0.3349, 0.7500, 0.1459)  3 In 3.14-3.33, 4 Pd 3.17-3.26
Pm (0.4652, 0.6110, 0.6159)  3 Pd 3.07-3.33, 6 In 3.22-3.43
Pm (0.4652, 0.8890, 0.6159)  3 Pd 3.07-3.33, 6 In 3.22-3.43
Pm (0.5348, 0.1110, 0.3841)  3 Pd 3.07-3.33, 6 In 3.22-3.43
Pm (0.5348, 0.3890, 0.3841)  3 Pd 3.07-3.33, 6 In 3.22-3.43
Pm (0.6651, 0.2500, 0.8541)  3 In 3.14-3.33, 4 Pd 3.17-3.26
Pm (0.8349, 0.7500, 0.3541)  3 In 3.14-3.33, 4 Pd 3.17-3.26
Pm (0.9652, 0.6110, 0.8841)  3 Pd 3.07-3.33, 6 In 3.22-3.43
Pm (0.9652, 0.8890, 0.8841)  3 Pd 3.07-3.33, 6 In 3.22-3.43
In (0.1768, 0.7500, 0.6499)  2 Pd 2.79
In (0.1839, 0.0331, 0.6062)  3 Pd 2.77-2.91
In (0.1839, 0.4669, 0.6062)  3 Pd 2.77-2.91
In (0.3161, 0.5331, 0.1062)  3 Pd 2.77-2.91
In (0.3161, 0.9669, 0.1062)  3 Pd 2.77-2.91
In (0.3232, 0.2500, 0.1499)  2 Pd 2.79
In (0.6768, 0.7500, 0.8501)  2 Pd 2.79
In (0.6839, 0.0331, 0.8938)  3 Pd 2.77-2.91
In (0.6839, 0.4669, 0.8938)  3 Pd 2.77-2.91
In (0.8161, 0.5331, 0.3938)  3 Pd 2.77-2.91
In (0.8161, 0.9669, 0.3938)  3 Pd 2.77-2.91
In (0.8232, 0.2500, 0.3501)  2 Pd 2.79
Pd (0.1020, 0.6166, 0.3808)  4 In 2.77-2.91, 1 Pm 3.07
Pd (0.1020, 0.8834, 0.3808)  4 In 2.77-2.91, 1 Pm 3.07
Pd (0.3980, 0.1166, 0.8808)  4 In 2.77-2.91, 1 Pm 3.07
Pd (0.3980, 0.3834, 0.8808)  4 In 2.77-2.91, 1 Pm 3.07
Pd (0.6020, 0.6166, 0.1192)  4 In 2.77-2.91, 1 Pm 3.07
Pd (0.6020, 0.8834, 0.1192)  4 In 2.77-2.91, 1 Pm 3.07
Pd (0.8980, 0.1166, 0.6192)  4 In 2.77-2.91, 1 Pm 3.07
Pd (0.8980, 0.3834, 0.6192)  4 In 2.77-2.91, 1 Pm 3.07

---

6.
Density functional theory data (PBE) for a relaxed HgTeMo2 crystal.

Calculated values
VASP energy   -22.3 eV/cell
Distance to the lowest polymorph of the same formula   160 kJ/mol of formula units
E_form (uncorrected)   0.696 eV per atom
Spin magnetization   0.00 μB/f.u.

Lattice parameters (Å, degrees): 3.4310 4.4555 5.4871 90.00 96.51 90.00
With the nearest neighbours (Å) after each atom.
Element x y z (fractional)
Hg (0.0000, 0.0000, 0.0000)  4 Mo 2.92, 2 Te 3.07
Te (0.5000, 0.0000, 0.5000)  4 Mo 2.72
Mo (0.1945, 0.5000, 0.6907)  1 Mo 2.35
Mo (0.8055, 0.5000, 0.3093)  1 Mo 2.35

---

7.
Density functional theory data (PBE) for a relaxed Ce3HoTl3Se8 crystal.

Calculated values
VASP energy   -78.6 eV/cell
E_form (uncorrected)   -1.415 eV per atom
Spin magnetization   2.01 μB/f.u.

Lattice parameters (Å, degrees): 9.1864 9.1864 9.1864 55.37 55.37 55.37
With the nearest neighbours (Å) after each atom.
Element x y z (fractional)
Ce (0.0000, 0.5000, 0.5000)  6 Se 2.94-2.95
Ce (0.5000, 0.0000, 0.5000)  6 Se 2.94-2.95
Ce (0.5000, 0.5000, 0.0000)  6 Se 2.94-2.95
Ho (0.0000, 0.0000, 0.0000)  6 Se 2.89
Tl (0.0000, 0.0000, 0.5000)  6 Se 3.34-3.36
Tl (0.0000, 0.5000, 0.0000)  6 Se 3.34-3.36
Tl (0.5000, 0.0000, 0.0000)  6 Se 3.34-3.36
Se (0.2314, 0.2314, 0.7393)  1 Ho 2.89, 2 Ce 2.94
Se (0.2314, 0.7393, 0.2314)  1 Ho 2.89, 2 Ce 2.94
Se (0.2607, 0.7686, 0.7686)  1 Ho 2.89, 2 Ce 2.94
Se (0.2637, 0.2637, 0.2637)  3 Ce 2.95
Se (0.7363, 0.7363, 0.7363)  3 Ce 2.95
Se (0.7393, 0.2314, 0.2314)  1 Ho 2.89, 2 Ce 2.94
Se (0.7686, 0.2607, 0.7686)  1 Ho 2.89, 2 Ce 2.94
Se (0.7686, 0.7686, 0.2607)  1 Ho 2.89, 2 Ce 2.94

---

8.
Density functional theory data (PBE) for a relaxed Be2Cu4Si crystal.

Calculated values
VASP energy   -28.9 eV/cell
E_form (uncorrected)   0.048 eV per atom
Spin magnetization   0.00 μB/f.u.

Lattice parameters (Å, degrees): 4.7314 4.7314 4.7314 110.44 110.44 107.55
With the nearest neighbours (Å) after each atom.
Element x y z (fractional)
Be (0.0000, 0.5000, 0.5000)  8 Cu 2.37
Be (0.5000, 0.0000, 0.5000)  8 Cu 2.37
Cu (0.0000, 0.0000, 0.5000)  4 Be 2.37, 2 Si 2.37
Cu (0.0000, 0.5000, 0.0000)  4 Be 2.37, 2 Si 2.37
Cu (0.5000, 0.0000, 0.0000)  4 Be 2.37, 2 Si 2.37
Cu (0.5000, 0.5000, 0.5000)  4 Be 2.37, 2 Si 2.37
Si (0.0000, 0.0000, 0.0000)  8 Cu 2.37

---

In order of appearance, V = 74.0, 167.2, 103.2, 112.3, 201.5, 83.3, 489.2, 81.5 Å³/f.u..